a) A relaxed structure of K2CrFe2, computed with PBE-GGA.

Lattice parameters (Å, degrees): 3.231 3.231 12.022 82.28 82.28 90.00
Atoms (fractional coordinates):
Cr 0.000 0.000 0.000
K 0.380 0.380 0.239
K 0.620 0.620 0.761
Fe 0.750 0.250 0.500
Fe 0.250 0.750 0.500

Output
- D(E_F) (states/eV per atom) = 1.6492
- magnetization (Bohr magnetons per cell) = 4.8
- calculated volume (A^3/atom) = 24.64
- space group = I4/mmm (139)

***

b) A relaxed structure of K2CrFe2, computed with PBE-GGA.

Lattice parameters (Å, degrees): 9.328 9.328 2.671 90.00 90.00 90.00
Atoms (fractional coordinates):
Cr 0.000 0.000 0.000
Cr 0.500 0.500 0.000
K 0.380 0.880 0.000
K 0.880 0.620 0.000
K 0.620 0.120 0.000
K 0.120 0.380 0.000
Fe 0.185 0.685 0.500
Fe 0.685 0.815 0.500
Fe 0.815 0.315 0.500
Fe 0.315 0.185 0.500

Output
- D(E_F) (states/eV per atom) = 3.8434
- magnetization (Bohr magnetons per cell) = 9.5
- calculated volume (A^3/atom) = 23.24
- space group = P4/mbm (127)

***

Referenced to the most stable arrangement, the calculated values in meV/atom are a) 0; b) 651.

***

a) A relaxed structure of KCrFe2, computed with PBE-GGA.

Lattice parameters (Å, degrees): 5.793 5.793 5.793 153.49 123.24 63.71
Atoms (fractional coordinates):
Cr 0.250 0.750 0.500
Fe 0.051 0.051 0.000
Fe 0.449 0.449 0.000
K 0.750 0.250 0.500

Output
- D(E_F) (states/eV per atom) = 1.2752
- magnetization (Bohr magnetons per cell) = 5.7
- calculated volume (A^3/atom) = 17.99
- space group = Immm (71)

***

b) A relaxed structure of KCrFe2, computed with PBE-GGA.

Lattice parameters (Å, degrees): 4.308 4.308 4.308 60.00 60.00 60.00
Atoms (fractional coordinates):
Cr 0.500 0.500 0.500
K 0.000 0.000 0.000
Fe 0.250 0.250 0.250
Fe 0.750 0.750 0.750

Output
- D(E_F) (states/eV per atom) = 1.6233
- magnetization (Bohr magnetons per cell) = 0.0
- calculated volume (A^3/atom) = 14.14
- space group = Fm-3m (225)

***

Referenced to the most stable arrangement, the calculated values in meV/atom are a) 0; b) 426.

***

a) A relaxed structure of KCrFe2, computed with PBE-GGA.

Lattice parameters (Å, degrees): 4.847 4.847 7.945 72.24 72.24 90.00
Atoms (fractional coordinates):
Cr 0.000 0.000 0.000
Cr 0.750 0.250 0.500
K 0.500 0.500 0.000
K 0.250 0.750 0.500
Fe 0.875 0.125 0.250
Fe 0.875 0.625 0.250
Fe 0.375 0.125 0.750
Fe 0.875 0.125 0.750

Output
- D(E_F) (states/eV per atom) = 2.4712
- magnetization (Bohr magnetons per cell) = 0.0
- calculated volume (A^3/atom) = 21.05
- space group = I4_1/amd (141)

***

b) A relaxed structure of KCrFe2, computed with PBE-GGA.

Lattice parameters (Å, degrees): 2.918 2.918 8.410 90.00 90.00 90.00
Atoms (fractional coordinates):
Cr 0.500 0.500 0.841
Fe 0.000 0.000 0.004
Fe 0.500 0.500 0.158
K 0.000 0.000 0.497

Output
- D(E_F) (states/eV per atom) = 1.0536
- magnetization (Bohr magnetons per cell) = 7.0
- calculated volume (A^3/atom) = 17.90
- space group = P4mm (99)

***

c) A relaxed structure of KCrFe2, computed with PBE-GGA.

Lattice parameters (Å, degrees): 2.827 4.962 4.962 90.00 90.00 90.00
Atoms (fractional coordinates):
Cr 0.500 0.000 0.500
Fe 0.000 0.000 0.000
Fe 0.000 0.500 0.500
K 0.500 0.500 0.000

Output
- D(E_F) (states/eV per atom) = 1.5896
- magnetization (Bohr magnetons per cell) = 2.0
- calculated volume (A^3/atom) = 17.40
- space group = P4/mmm (123)

***

d) A relaxed structure of KCrFe2, computed with PBE-GGA.

Lattice parameters (Å, degrees): 3.399 2.812 8.242 70.38 90.00 90.00
Atoms (fractional coordinates):
Cr 0.500 0.750 0.750
Fe 0.000 0.108 0.896
Fe 0.000 0.392 0.604
K 0.500 0.250 0.250

Output
- D(E_F) (states/eV per atom) = 1.0284
- magnetization (Bohr magnetons per cell) = 2.8
- calculated volume (A^3/atom) = 18.55
- space group = P2/m (10)

***

Referenced to the most stable arrangement, the calculated values in meV/atom are a) 828; b) 91; c) 609; d) 0.

***

a) A relaxed structure of KCrFe2, computed with PBE-GGA.

Lattice parameters (Å, degrees): 2.629 2.629 9.451 90.00 90.00 108.68
Atoms (fractional coordinates):
Cr 0.500 0.500 0.750
Fe 0.000 0.000 0.943
Fe 0.000 0.000 0.557
K 0.500 0.500 0.250

Output
- D(E_F) (states/eV per atom) = 1.2313
- magnetization (Bohr magnetons per cell) = 3.6
- calculated volume (A^3/atom) = 15.47
- space group = Cmmm (65)

***

b) A relaxed structure of KCrFe2, computed with PBE-GGA.

Lattice parameters (Å, degrees): 6.258 5.301 2.608 89.95 65.46 119.21
Atoms (fractional coordinates):
Cr 0.500 0.500 0.000
Fe 0.000 0.000 0.000
Fe 0.500 0.000 0.500
K 0.000 0.500 0.500

Output
- D(E_F) (states/eV per atom) = 0.7863
- magnetization (Bohr magnetons per cell) = 8.1
- calculated volume (A^3/atom) = 16.60
- space group = Cmmm (65)

***

Referenced to the most stable arrangement, the calculated values in meV/atom are a) 0; b) 508.

***

a) A relaxed structure of KCrFe2, computed with PBE-GGA.

Lattice parameters (Å, degrees): 4.528 4.528 6.914 84.38 84.38 37.22
Atoms (fractional coordinates):
Cr 0.250 0.250 0.250
Fe 0.977 0.977 0.131
Fe 0.523 0.523 0.369
K 0.750 0.750 0.750

Output
- D(E_F) (states/eV per atom) = 1.1196
- magnetization (Bohr magnetons per cell) = 1.7
- calculated volume (A^3/atom) = 21.32
- space group = C2/m (12)

***

b) A relaxed structure of KCrFe2, computed with PBE-GGA.

Lattice parameters (Å, degrees): 4.651 4.651 4.651 60.00 60.00 60.00
Atoms (fractional coordinates):
Cr 0.500 0.500 0.500
Fe 0.000 0.000 0.000
Fe 0.250 0.250 0.250
K 0.750 0.750 0.750

Output
- D(E_F) (states/eV per atom) = 0.9997
- magnetization (Bohr magnetons per cell) = 9.3
- calculated volume (A^3/atom) = 17.79
- space group = F-43m (216)

***

Referenced to the most stable arrangement, the calculated values in meV/atom are a) 0; b) 694.

***

a) A relaxed structure of KCr3Fe, computed with PBE-GGA.

Lattice parameters (Å, degrees): 4.689 4.689 4.689 90.00 90.00 90.00
Atoms (fractional coordinates):
Cr 0.000 0.500 0.000
Cr 0.000 0.000 0.500
Cr 0.500 0.000 0.000
K 0.500 0.500 0.500
Fe 0.000 0.000 0.000

Output
- D(E_F) (states/eV per atom) = 0.8080
- magnetization (Bohr magnetons per cell) = 9.2
- calculated volume (A^3/atom) = 20.62
- space group = Pm-3m (221)

***

b) A relaxed structure of KCr3Fe, computed with PBE-GGA.

Lattice parameters (Å, degrees): 4.112 4.112 4.112 90.00 90.00 90.00
Atoms (fractional coordinates):
Cr 0.000 0.500 0.000
Cr 0.000 0.000 0.500
Cr 0.500 0.000 0.000
K 0.000 0.000 0.000
Fe 0.500 0.500 0.500

Output
- D(E_F) (states/eV per atom) = 2.4514
- magnetization (Bohr magnetons per cell) = 0.0
- calculated volume (A^3/atom) = 13.91
- space group = Pm-3m (221)

***

Referenced to the most stable arrangement, the calculated values in meV/atom are a) 0; b) 1887.

***

a) A relaxed structure of KCrFe3, computed with PBE-GGA.

Lattice parameters (Å, degrees): 4.507 4.507 4.507 90.00 90.00 90.00
Atoms (fractional coordinates):
Cr 0.500 0.500 0.500
K 0.000 0.000 0.000
Fe 0.000 0.500 0.000
Fe 0.000 0.000 0.500
Fe 0.500 0.000 0.000

Output
- D(E_F) (states/eV per atom) = 1.4756
- magnetization (Bohr magnetons per cell) = 12.4
- calculated volume (A^3/atom) = 18.30
- space group = Pm-3m (221)

***

b) A relaxed structure of KCrFe3, computed with PBE-GGA.

Lattice parameters (Å, degrees): 4.509 4.509 4.509 90.00 90.00 90.00
Atoms (fractional coordinates):
Cr 0.000 0.000 0.000
K 0.500 0.500 0.500
Fe 0.000 0.500 0.000
Fe 0.000 0.000 0.500
Fe 0.500 0.000 0.000

Output
- D(E_F) (states/eV per atom) = 1.5754
- magnetization (Bohr magnetons per cell) = 5.5
- calculated volume (A^3/atom) = 18.34
- space group = Pm-3m (221)

***

Referenced to the most stable arrangement, the calculated values in meV/atom are a) 1294; b) 0.

***

a) A relaxed structure of LaCrFe2, computed with PBE-GGA.

Lattice parameters (Å, degrees): 9.165 9.165 9.165 18.91 18.91 18.91
Atoms (fractional coordinates):
Cr 0.731 0.731 0.731
Fe 0.998 0.998 0.998
Fe 0.268 0.268 0.268
La 0.502 0.502 0.502

Output
- D(E_F) (states/eV per atom) = 1.3524
- magnetization (Bohr magnetons per cell) = 2.6
- calculated volume (A^3/atom) = 17.67
- space group = R3m (160)

***

b) A relaxed structure of LaCrFe2, computed with PBE-GGA.

Lattice parameters (Å, degrees): 3.015 3.015 7.118 90.00 90.00 90.00
Atoms (fractional coordinates):
Cr 0.500 0.500 0.750
Fe 0.000 0.000 0.920
Fe 0.000 0.000 0.580
La 0.500 0.500 0.250

Output
- D(E_F) (states/eV per atom) = 1.1185
- magnetization (Bohr magnetons per cell) = 1.9
- calculated volume (A^3/atom) = 16.18
- space group = P4/mmm (123)

***

c) A relaxed structure of LaCrFe2, computed with PBE-GGA.

Lattice parameters (Å, degrees): 4.045 4.045 5.811 69.56 69.56 60.10
Atoms (fractional coordinates):
Cr 0.312 0.312 0.063
Fe 0.991 0.991 0.027
Fe 0.697 0.697 0.908
La 0.499 0.499 0.502

Output
- D(E_F) (states/eV per atom) = 1.7369
- magnetization (Bohr magnetons per cell) = 1.7
- calculated volume (A^3/atom) = 18.86
- space group = Cm (8)

***

Referenced to the most stable arrangement, the calculated values in meV/atom are a) 475; b) 71; c) 0.

***

a) A relaxed structure of LaCrFe2, computed with PBE-GGA.

Lattice parameters (Å, degrees): 4.029 4.029 5.754 69.52 69.52 60.00
Atoms (fractional coordinates):
Cr 0.250 0.250 0.250
Fe 0.946 0.946 0.163
Fe 0.554 0.554 0.337
La 0.750 0.750 0.750

Output
- D(E_F) (states/eV per atom) = 1.6087
- magnetization (Bohr magnetons per cell) = 1.4
- calculated volume (A^3/atom) = 18.50
- space group = R-3m (166)

***

b) A relaxed structure of LaCrFe2, computed with PBE-GGA.

Lattice parameters (Å, degrees): 4.656 4.643 3.182 90.00 90.00 90.00
Atoms (fractional coordinates):
Cr 0.000 0.500 0.500
Fe 0.000 0.000 0.000
Fe 0.500 0.500 0.000
La 0.500 0.000 0.500

Output
- D(E_F) (states/eV per atom) = 1.7688
- magnetization (Bohr magnetons per cell) = 0.7
- calculated volume (A^3/atom) = 17.20
- space group = Pmmm (47)

***

c) A relaxed structure of LaCrFe2, computed with PBE-GGA.

Lattice parameters (Å, degrees): 3.881 3.729 5.452 69.97 90.00 90.00
Atoms (fractional coordinates):
Cr 0.500 0.745 0.885
Fe 0.000 0.206 0.965
Fe 0.500 0.091 0.192
La 0.000 0.458 0.458

Output
- D(E_F) (states/eV per atom) = 0.9652
- magnetization (Bohr magnetons per cell) = 0.3
- calculated volume (A^3/atom) = 18.53
- space group = Amm2 (38)

***

Referenced to the most stable arrangement, the calculated values in meV/atom are a) 0; b) 396; c) 219.

***

a) A relaxed structure of LaCrFe2, computed with PBE-GGA.

Lattice parameters (Å, degrees): 8.792 8.792 8.792 19.44 19.44 19.44
Atoms (fractional coordinates):
Cr 0.750 0.750 0.750
Fe 0.019 0.019 0.019
Fe 0.481 0.481 0.481
La 0.250 0.250 0.250

Output
- D(E_F) (states/eV per atom) = 1.2682
- magnetization (Bohr magnetons per cell) = 2.2
- calculated volume (A^3/atom) = 16.46
- space group = R-3m (166)

***

b) A relaxed structure of LaCrFe2, computed with PBE-GGA.

Lattice parameters (Å, degrees): 3.069 3.070 7.069 90.00 90.00 90.00
Atoms (fractional coordinates):
Cr 0.500 0.500 0.836
Fe 0.000 0.000 0.995
Fe 0.500 0.500 0.169
La 0.000 0.000 0.500

Output
- D(E_F) (states/eV per atom) = 1.2415
- magnetization (Bohr magnetons per cell) = 3.3
- calculated volume (A^3/atom) = 16.65
- space group = P4mm (99)

***

Referenced to the most stable arrangement, the calculated values in meV/atom are a) 319; b) 0.

***

a) A relaxed structure of LaCr2Fe2, computed with PBE-GGA.

Lattice parameters (Å, degrees): 7.223 7.223 2.705 90.00 90.00 90.00
Atoms (fractional coordinates):
Cr 0.350 0.850 0.000
Cr 0.850 0.650 0.000
Cr 0.650 0.150 0.000
Cr 0.150 0.350 0.000
Fe 0.128 0.628 0.500
Fe 0.628 0.872 0.500
Fe 0.872 0.372 0.500
Fe 0.372 0.128 0.500
La 0.000 0.000 0.000
La 0.500 0.500 0.000

Output
- D(E_F) (states/eV per atom) = 1.3512
- magnetization (Bohr magnetons per cell) = 0.2
- calculated volume (A^3/atom) = 14.11
- space group = P4/mbm (127)

***

b) A relaxed structure of LaCr2Fe2, computed with PBE-GGA.

Lattice parameters (Å, degrees): 3.982 3.982 5.715 69.61 69.61 90.00
Atoms (fractional coordinates):
Cr 0.366 0.366 0.268
Cr 0.634 0.634 0.732
Fe 0.750 0.250 0.500
Fe 0.250 0.750 0.500
La 0.000 0.000 0.000

Output
- D(E_F) (states/eV per atom) = 1.1619
- magnetization (Bohr magnetons per cell) = 0.3
- calculated volume (A^3/atom) = 15.77
- space group = I4/mmm (139)

***

Referenced to the most stable arrangement, the calculated values in meV/atom are a) 149; b) 0.

***

a) A relaxed structure of LaCrFePb2, computed with PBE-GGA.

Lattice parameters (Å, degrees): 6.051 4.382 6.051 90.00 90.00 90.00
Atoms (fractional coordinates):
Pb 0.000 0.000 0.500
Pb 0.500 0.000 0.000
Cr 0.500 0.500 0.500
Fe 0.000 0.500 0.000
La 0.000 0.000 0.000

Output
- D(E_F) (states/eV per atom) = 1.9153
- magnetization (Bohr magnetons per cell) = 0.5
- calculated volume (A^3/atom) = 32.09
- space group = P4/mmm (123)

***

b) A relaxed structure of LaCrFePb2, computed with PBE-GGA.

Lattice parameters (Å, degrees): 5.188 4.948 5.188 90.00 90.00 90.00
Atoms (fractional coordinates):
Pb 0.000 0.000 0.500
Pb 0.500 0.000 0.000
Cr 0.000 0.000 0.000
Fe 0.500 0.500 0.500
La 0.000 0.500 0.000

Output
- D(E_F) (states/eV per atom) = 2.1484
- magnetization (Bohr magnetons per cell) = 0.1
- calculated volume (A^3/atom) = 26.63
- space group = P4/mmm (123)

***

Referenced to the most stable arrangement, the calculated values in meV/atom are a) 930; b) 0.